Record 1
A plane-wave DFT calculation with PBE was carried out for an optimized crystal structure of Hg2TePb.

As for the formation energy (no corrections): -0.053 eV/atom. The calculation puts the density of states at the Fermi level at 1.1 states/eV/cell. The calculation puts the energy at -7.66 eV/cell. The calculation puts the energy above the most stable polymorph in this dataset at 0.113 eV per atom.

The space group is Pm (No. 6) and the conventional cell measures 3.339, 4.519 and 8.341 Å, with angles of 90.00, 94.25 and 90.00 degrees. Symmetry generates all atoms from Hg at (0.000, 0.000, 0.000), Hg at (0.410, 0.500, 0.791), Te at (0.719, 0.500, 0.287) and Pb at (0.818, 0.000, 0.539).

=====

Record 2
A plane-wave DFT calculation with PBE was carried out for an optimized crystal structure of ZnCr.

The calculation puts the density of states at the Fermi level at 39.6 states/eV/cell. The formation energy from the elements is 0.51 eV/atom. The calculation puts the energy at -157.95 eV/cell.

The space group is Fddd (No. 70, origin choice 2) and the conventional cell measures 4.213, 7.337 and 14.209 Å, with angles of 90.00, 90.00 and 90.00 degrees. Symmetry generates all atoms from Zn at (0.125, 0.291, 0.125) and Cr at (0.125, 0.125, 0.542).

=====

Record 3
A plane-wave DFT calculation with PBE was carried out for an optimized crystal structure of PuNpAgIr.

The calculation puts the density of states at the Fermi level at 36.1 states/eV/cell. The formation energy from the elements is -0.07 eV/atom. The calculation puts the energy at -157.04 eV/cell.

The space group is F-43m (No. 216) and the conventional cell measures 6.737, 6.737 and 6.737 Å, with angles of 90.00, 90.00 and 90.00 degrees. Symmetry generates all atoms from Pu at (0.000, 0.000, 0.000), Np at (0.250, 0.250, 0.250), Ag at (0.250, 0.250, 0.750) and Ir at (0.000, 0.000, 0.500).